A plane-wave DFT calculation with PBE was carried out for a relaxed Ce2SmTh3Se6 crystal. Values from VASP.

Summary:
The space group is No. 12. The formation energy without anion corrections comes out at -1.682 eV/atom.

Cell and atoms, written as Quantum ESPRESSO input:
```
&SYSTEM
  ibrav = 0, nat = 12, ntyp = 4
/
ATOMIC_SPECIES
Ce 140.12 Ce.upf
Sm 150.36 Sm.upf
Th 232.04 Th.upf
Se 78.96 Se.upf
CELL_PARAMETERS angstrom
3.614 -6.256 0.000
3.614 6.256 0.000
-2.407 0.000 6.917
ATOMIC_POSITIONS angstrom
Ce 3.614 4.170 0.000
Ce 3.614 -4.170 0.000
Sm 3.614 0.000 0.000
Th -1.203 0.000 3.459
Th 2.411 2.082 3.459
Th 2.411 -2.082 3.459
Se 0.007 2.077 5.219
Se 1.214 0.000 1.698
Se 0.007 -2.077 5.219
Se 4.815 2.077 1.698
Se 3.608 0.000 5.219
Se 4.815 -2.077 1.698
```

A plane-wave DFT calculation with PBE was carried out for a relaxed ZnCu2Tc crystal. Values from VASP.

Summary:
The space group is No. 71. For the formation energy from the elements, the calculation gives 0.197 eV/atom.

Cell and atoms, written as Quantum ESPRESSO input:
```
&SYSTEM
  ibrav = 0, nat = 4, ntyp = 3
/
ATOMIC_SPECIES
Zn 65.41 Zn.upf
Cu 63.55 Cu.upf
Tc 98.00 Tc.upf
CELL_PARAMETERS angstrom
-1.299 2.273 4.524
1.299 -2.273 4.524
1.299 2.273 -4.524
ATOMIC_POSITIONS angstrom
Zn 0.000 0.000 0.000
Cu 1.299 0.000 2.191
Cu 0.000 2.273 2.332
Tc 0.000 0.000 4.524
```

A plane-wave DFT calculation with PBE was carried out for a relaxed Ac2MgInHg6 crystal. Values from VASP.

Summary:
The space group is No. 2. For the formation energy from the elements, the calculation gives -0.281 eV/atom.

Cell and atoms, written as Quantum ESPRESSO input:
```
&SYSTEM
  ibrav = 0, nat = 10, ntyp = 4
/
ATOMIC_SPECIES
Ac 227.00 Ac.upf
Mg 24.30 Mg.upf
In 114.82 In.upf
Hg 200.59 Hg.upf
CELL_PARAMETERS angstrom
5.905 0.000 0.000
2.926 6.877 0.000
2.951 -0.832 6.963
ATOMIC_POSITIONS angstrom
Ac 2.941 1.640 1.800
Ac 8.840 4.405 5.163
Mg 0.000 0.000 0.000
In 5.891 3.023 3.481
Hg 4.404 5.407 2.128
Hg 5.889 3.231 6.451
Hg 4.428 0.626 4.848
Hg 7.353 5.419 2.115
Hg 5.892 2.814 0.512
Hg 7.378 0.638 4.835
```

A plane-wave DFT calculation with PBE was carried out for a relaxed PuBeRuO6 crystal. Values from VASP.

Summary:
The space group is No. 163. The formation energy without anion corrections comes out at -1.757 eV/atom.

Cell and atoms, written as Quantum ESPRESSO input:
```
&SYSTEM
  ibrav = 0, nat = 18, ntyp = 4
/
ATOMIC_SPECIES
Pu 244.00 Pu.upf
Be 9.01 Be.upf
Ru 101.07 Ru.upf
O 16.00 O.upf
CELL_PARAMETERS angstrom
4.999 0.000 0.000
-2.500 4.329 0.000
0.000 0.000 8.765
ATOMIC_POSITIONS angstrom
Pu 0.000 2.886 2.191
Pu 2.500 1.443 6.573
Be 0.000 2.886 6.573
Be 2.500 1.443 2.191
Ru 0.000 0.000 0.000
Ru 0.000 0.000 4.382
O -0.717 1.496 5.520
O -1.562 2.961 7.626
O 0.717 1.496 7.626
O -0.846 4.202 5.520
O 1.654 0.127 1.138
O 0.937 1.369 3.244
O 1.562 2.961 5.520
O 0.846 4.202 7.626
O 3.345 0.127 3.244
O 1.783 2.834 1.138
O 4.062 1.369 1.138
O 3.216 2.834 3.244
```

A plane-wave DFT calculation with PBE was carried out for a relaxed Ce2NdCl11 crystal. Values from VASP.

Summary:
The space group is No. 72. The formation energy without anion corrections comes out at -1.940 eV/atom.

Cell and atoms, written as Quantum ESPRESSO input:
```
&SYSTEM
  ibrav = 0, nat = 28, ntyp = 3
/
ATOMIC_SPECIES
Ce 140.12 Ce.upf
Nd 144.24 Nd.upf
Cl 35.45 Cl.upf
CELL_PARAMETERS angstrom
-5.089 6.372 6.788
5.089 -6.372 6.788
5.089 6.372 -6.788
ATOMIC_POSITIONS angstrom
Ce 1.496 2.325 0.000
Ce 6.585 4.047 0.000
Ce -1.496 2.325 6.788
Ce 3.593 4.047 6.788
Nd 5.089 0.000 3.394
Nd 0.000 6.372 3.394
Cl 0.000 0.000 0.000
Cl 6.081 2.323 -1.985
Cl 7.365 -0.876 1.850
Cl 6.081 -2.323 4.803
Cl 2.812 0.876 1.850
Cl 3.760 -3.618 6.788
Cl 3.760 3.618 0.000
Cl 2.812 -0.876 4.937
Cl 6.081 2.323 1.985
Cl 2.277 7.248 -1.850
Cl 0.992 4.049 1.985
Cl 0.000 0.000 6.788
Cl 4.096 2.323 4.803
Cl 2.812 -0.876 8.638
Cl -0.992 4.049 4.803
Cl 2.277 7.248 1.850
Cl 1.329 2.753 6.788
Cl 1.329 9.990 0.000
Cl 2.277 5.496 4.937
Cl -0.992 8.695 1.985
Cl -2.277 7.248 4.937
Cl -0.992 4.049 8.772
```

A plane-wave DFT calculation with PBE was carried out for a relaxed YThAl crystal. Values from VASP.

Summary:
The space group is No. 156. As for the offset from the most stable computed form: 85 kJ/mol of formula units. For the formation energy from the elements, the calculation gives 0.121 eV/atom.

Cell and atoms, written as Quantum ESPRESSO input:
```
&SYSTEM
  ibrav = 0, nat = 3, ntyp = 3
/
ATOMIC_SPECIES
Y 88.91 Y.upf
Th 232.04 Th.upf
Al 26.98 Al.upf
CELL_PARAMETERS angstrom
5.322 0.000 0.000
-2.661 4.609 0.000
0.000 0.000 3.177
ATOMIC_POSITIONS angstrom
Y 0.000 0.000 0.000
Th 0.000 3.073 0.009
Al 2.661 1.536 1.596
```

A plane-wave DFT calculation with PBE was carried out for a relaxed Tm2Mg3Hg4 crystal. Values from VASP.

Summary:
The space group is No. 12. As for the offset from the most stable computed form: 0 kJ/mol of formula units. For the formation energy from the elements, the calculation gives -0.343 eV/atom.

Cell and atoms, written as Quantum ESPRESSO input:
```
&SYSTEM
  ibrav = 0, nat = 9, ntyp = 3
/
ATOMIC_SPECIES
Tm 168.93 Tm.upf
Mg 24.30 Mg.upf
Hg 200.59 Hg.upf
CELL_PARAMETERS angstrom
4.333 -2.495 0.000
4.333 2.495 0.000
-0.064 0.000 9.561
ATOMIC_POSITIONS angstrom
Tm 1.440 0.000 2.046
Tm 7.162 0.000 7.514
Mg 1.401 0.000 5.469
Mg 4.333 0.000 0.000
Mg 7.201 0.000 4.091
Hg 1.383 0.000 8.558
Hg 4.273 0.000 6.313
Hg 4.329 0.000 3.248
Hg 7.219 0.000 1.002
```

A plane-wave DFT calculation with PBE was carried out for a relaxed ReMoW2 crystal. Values from VASP.

Summary:
The space group is No. 99. As for the offset from the most stable computed form: 10 kJ/mol of formula units. For the formation energy from the elements, the calculation gives 0.034 eV/atom.

Cell and atoms, written as Quantum ESPRESSO input:
```
&SYSTEM
  ibrav = 0, nat = 4, ntyp = 3
/
ATOMIC_SPECIES
Re 186.21 Re.upf
Mo 95.94 Mo.upf
W 183.84 W.upf
CELL_PARAMETERS angstrom
3.161 0.000 0.000
0.000 3.161 0.000
0.000 0.000 6.326
ATOMIC_POSITIONS angstrom
Re 0.000 0.000 0.000
Mo 1.581 1.581 4.668
W 0.000 0.000 3.149
W 1.581 1.581 1.521
```

A plane-wave DFT calculation with PBE was carried out for a relaxed LiScPd crystal. Values from VASP.

Summary:
The space group is No. 46. As for the offset from the most stable computed form: 10 kJ/mol of formula units. For the formation energy from the elements, the calculation gives -0.534 eV/atom.

Cell and atoms, written as Quantum ESPRESSO input:
```
&SYSTEM
  ibrav = 0, nat = 18, ntyp = 3
/
ATOMIC_SPECIES
Li 6.94 Li.upf
Sc 44.96 Sc.upf
Pd 106.42 Pd.upf
CELL_PARAMETERS angstrom
-3.899 5.928 3.416
3.899 -5.928 3.416
3.899 5.928 -3.416
ATOMIC_POSITIONS angstrom
Li 0.000 0.000 0.000
Li 3.899 0.000 0.000
Li 0.005 4.507 0.964
Li 3.894 4.507 0.964
Li -0.005 7.349 0.964
Li 0.005 1.421 4.380
Sc 1.950 2.454 -0.224
Sc 5.849 2.462 -0.220
Sc 1.950 -0.003 2.366
Sc 1.950 5.931 -1.050
Sc -1.950 3.467 3.197
Sc 1.950 3.474 3.193
Pd 3.896 3.954 -1.639
Pd 3.902 -1.975 1.778
Pd 0.003 1.975 1.778
Pd 3.896 1.975 1.778
Pd -1.950 5.919 1.779
Pd 1.950 5.937 1.779
```

A plane-wave DFT calculation with PBE was carried out for a relaxed PPd3Pb crystal. Values from VASP.

Summary:
The space group is No. 221. As for the offset from the most stable computed form: 695 kJ/mol of formula units. For the formation energy from the elements, the calculation gives 1.077 eV/atom.

Cell and atoms, written as Quantum ESPRESSO input:
```
&SYSTEM
  ibrav = 0, nat = 5, ntyp = 3
/
ATOMIC_SPECIES
P 30.97 P.upf
Pd 106.42 Pd.upf
Pb 207.20 Pb.upf
CELL_PARAMETERS angstrom
5.016 0.000 0.000
0.000 5.016 0.000
0.000 0.000 5.016
ATOMIC_POSITIONS angstrom
P 0.000 0.000 0.000
Pd 0.000 2.508 2.508
Pd 2.508 0.000 2.508
Pd 2.508 2.508 0.000
Pb 2.508 2.508 2.508
```

A plane-wave DFT calculation with PBE was carried out for a relaxed YBe2Se crystal. Values from VASP.

Summary:
The space group is No. 216. The formation energy without anion corrections comes out at 0.204 eV/atom.

Cell and atoms, written as Quantum ESPRESSO input:
```
&SYSTEM
  ibrav = 0, nat = 4, ntyp = 3
/
ATOMIC_SPECIES
Y 88.91 Y.upf
Be 9.01 Be.upf
Se 78.96 Se.upf
CELL_PARAMETERS angstrom
0.000 3.293 3.293
3.293 0.000 3.293
3.293 3.293 0.000
ATOMIC_POSITIONS angstrom
Y 0.000 0.000 0.000
Be 3.293 3.293 3.293
Be 4.939 4.939 4.939
Se 1.646 1.646 1.646
```

A plane-wave DFT calculation with PBE was carried out for a relaxed Pm8Nd5In crystal. Values from VASP.

Summary:
The space group is No. 5. For the formation energy from the elements, the calculation gives 0.108 eV/atom.

Cell and atoms, written as Quantum ESPRESSO input:
```
&SYSTEM
  ibrav = 0, nat = 14, ntyp = 3
/
ATOMIC_SPECIES
Pm 145.00 Pm.upf
Nd 144.24 Nd.upf
In 114.82 In.upf
CELL_PARAMETERS angstrom
7.267 -4.547 0.000
7.267 4.547 0.000
-5.525 0.000 7.393
ATOMIC_POSITIONS angstrom
Pm -1.257 0.000 3.174
Pm -1.432 0.477 7.049
Pm 2.809 -1.212 2.664
Pm 0.132 -2.378 4.963
Pm 10.441 0.477 0.345
Pm 6.199 -1.212 4.730
Pm 10.266 0.000 4.220
Pm 8.876 -2.378 2.431
Nd 7.267 3.820 0.000
Nd 1.814 0.795 5.539
Nd 7.195 0.795 1.854
Nd 5.835 -2.166 0.961
Nd 3.174 -2.166 6.432
In 4.504 1.529 3.697
```

Please write out number 11 again, unchanged.
A plane-wave DFT calculation with PBE was carried out for a relaxed YBe2Se crystal. Values from VASP.

Summary:
The space group is No. 216. The formation energy without anion corrections comes out at 0.204 eV/atom.

Cell and atoms, written as Quantum ESPRESSO input:
```
&SYSTEM
  ibrav = 0, nat = 4, ntyp = 3
/
ATOMIC_SPECIES
Y 88.91 Y.upf
Be 9.01 Be.upf
Se 78.96 Se.upf
CELL_PARAMETERS angstrom
0.000 3.293 3.293
3.293 0.000 3.293
3.293 3.293 0.000
ATOMIC_POSITIONS angstrom
Y 0.000 0.000 0.000
Be 3.293 3.293 3.293
Be 4.939 4.939 4.939
Se 1.646 1.646 1.646
```